! RbNaIn2Sb2 PBE optimized geometry; values from VASP
&SYSTEM
  ibrav = 0, nat = 6, ntyp = 4
/
ATOMIC_SPECIES
Rb 85.47 Rb.upf
Na 22.99 Na.upf
In 114.82 In.upf
Sb 121.76 Sb.upf
CELL_PARAMETERS angstrom
-2.7982 3.7074 -2.5488
-0.0535 -5.0102 -1.7222
-6.6180 -1.6178 4.9124
ATOMIC_POSITIONS crystal
Rb 0.0000 0.0000 0.0000
Na 0.0000 0.0000 0.5000
In 0.6667 0.3333 0.3561
In 0.3333 0.6667 0.6439
Sb 0.6667 0.3333 0.7171
Sb 0.3333 0.6667 0.2829
! Formation energy without anion corrections: -0.30 eV per atom
! D(E_F): 0.100 states/eV per atom


! RbNaInSb2 PBE optimized geometry; values from VASP
&SYSTEM
  ibrav = 0, nat = 5, ntyp = 4
/
ATOMIC_SPECIES
Rb 85.47 Rb.upf
Na 22.99 Na.upf
In 114.82 In.upf
Sb 121.76 Sb.upf
CELL_PARAMETERS angstrom
-4.5976 2.3852 -0.3209
-1.3297 -1.9406 4.6256
5.4447 4.9479 0.7301
ATOMIC_POSITIONS crystal
Rb 0.0000 0.0000 0.0000
Na 0.2500 0.7500 0.5000
In 0.7500 0.2500 0.5000
Sb 0.6155 0.6155 0.2310
Sb 0.3845 0.3845 0.7690
! Formation energy without anion corrections: -0.30 eV per atom
! D(E_F): 0.824 states/eV per atom


! Rb2NaIn2Se4 PBE optimized geometry; values from VASP
&SYSTEM
  ibrav = 0, nat = 9, ntyp = 4
/
ATOMIC_SPECIES
Rb 85.47 Rb.upf
Na 22.99 Na.upf
In 114.82 In.upf
Se 78.96 Se.upf
CELL_PARAMETERS angstrom
4.7473 0.0000 0.0000
-2.3737 8.2051 0.2355
0.0000 -2.5836 7.5678
ATOMIC_POSITIONS crystal
Rb 0.8794 0.7589 0.4598
Rb 0.1206 0.2411 0.5402
Na 0.0000 0.0000 0.0000
In 0.3371 0.6742 0.9979
In 0.6629 0.3258 0.0021
Se 0.7906 0.5812 0.8238
Se 0.2094 0.4188 0.1762
Se 0.4797 0.9594 0.2421
Se 0.5203 0.0406 0.7579
! Formation energy without anion corrections: -0.85 eV per atom
! D(E_F): 0.328 states/eV per atom


! RbNa2InSi PBE optimized geometry; values from VASP
&SYSTEM
  ibrav = 0, nat = 5, ntyp = 4
/
ATOMIC_SPECIES
Na 22.99 Na.upf
Si 28.09 Si.upf
Rb 85.47 Rb.upf
In 114.82 In.upf
CELL_PARAMETERS angstrom
5.7330 0.0000 0.0000
0.0000 5.7330 0.0000
0.0000 0.0000 5.5280
ATOMIC_POSITIONS crystal
Na 0.0000 0.5000 0.0000
Na 0.5000 0.0000 0.0000
Si 0.0000 0.0000 0.0000
Rb 0.5000 0.5000 0.5000
In 0.0000 0.0000 0.5000
! Formation energy without anion corrections: 0.10 eV per atom
! D(E_F): 0.372 states/eV per atom


! Rb2NaIn3Sn4 PBE optimized geometry; values from VASP
&SYSTEM
  ibrav = 0, nat = 10, ntyp = 4
/
ATOMIC_SPECIES
Rb 85.47 Rb.upf
Na 22.99 Na.upf
In 114.82 In.upf
Sn 118.71 Sn.upf
CELL_PARAMETERS angstrom
5.1587 0.0000 0.0000
0.0000 5.1587 0.0000
0.0000 0.0000 12.4663
ATOMIC_POSITIONS crystal
Rb 0.5000 0.0000 0.2477
Rb 0.0000 0.5000 0.7523
Na 0.5000 0.5000 0.5000
In 0.0000 0.0000 0.5000
In 0.5000 0.0000 0.8681
In 0.0000 0.5000 0.1319
Sn 0.5000 0.5000 0.0000
Sn 0.0000 0.0000 0.0000
Sn 0.5000 0.0000 0.6353
Sn 0.0000 0.5000 0.3647
! Formation energy from the elements: -145 meV/atom
! D(E_F): 0.439 states/eV per atom


! RbNa2In2Sn2 PBE optimized geometry; values from VASP
&SYSTEM
  ibrav = 0, nat = 7, ntyp = 4
/
ATOMIC_SPECIES
Rb 85.47 Rb.upf
Na 22.99 Na.upf
In 114.82 In.upf
Sn 118.71 Sn.upf
CELL_PARAMETERS angstrom
5.0271 0.0000 0.0000
2.5136 4.3536 0.0000
2.5136 1.4512 10.3472
ATOMIC_POSITIONS crystal
Rb 0.0000 0.0000 0.0000
Na 0.1447 0.1447 0.5658
Na 0.8553 0.8553 0.4342
In 0.5579 0.5579 0.3263
In 0.4421 0.4421 0.6737
Sn 0.7487 0.7487 0.7540
Sn 0.2513 0.2513 0.2460
! Formation energy from the elements: -184 meV/atom
! D(E_F): 0.335 states/eV per atom


! RbNa2SrIn PBE optimized geometry; values from VASP
&SYSTEM
  ibrav = 0, nat = 5, ntyp = 4
/
ATOMIC_SPECIES
Sr 87.62 Sr.upf
Na 22.99 Na.upf
Rb 85.47 Rb.upf
In 114.82 In.upf
CELL_PARAMETERS angstrom
6.2987 0.0000 0.0000
0.0000 6.2987 0.0000
0.0000 0.0000 6.4324
ATOMIC_POSITIONS crystal
Sr 0.0000 0.0000 0.5000
Na 0.0000 0.5000 0.0000
Na 0.5000 0.0000 0.0000
Rb 0.5000 0.5000 0.5000
In 0.0000 0.0000 0.0000
! Formation energy from the elements: 36 meV/atom
! D(E_F): 0.788 states/eV per atom


! RbNaIn2Te4 PBE optimized geometry; values from VASP
&SYSTEM
  ibrav = 0, nat = 8, ntyp = 4
/
ATOMIC_SPECIES
Rb 85.47 Rb.upf
Na 22.99 Na.upf
In 114.82 In.upf
Te 127.60 Te.upf
CELL_PARAMETERS angstrom
7.5279 0.0000 0.0000
3.7640 6.6669 0.0277
3.7640 0.5740 6.6422
ATOMIC_POSITIONS crystal
Rb 0.0000 0.0000 0.0000
Na 0.5000 0.5000 0.5000
In 0.1953 0.3047 0.3047
In 0.8047 0.6953 0.6953
Te 0.4720 0.1083 0.4910
Te 0.0713 0.8917 0.5090
Te 0.9287 0.4910 0.1083
Te 0.5280 0.5090 0.8917
! Formation energy without anion corrections: -0.40 eV per atom


no.,total DFT energy (no corrections) (eV for the cell shown),mass density (g/cm3)
1,-17.813,4.73
2,-14.780,4.48
3,-30.321,4.12
4,-11.266,2.51
5,-28.934,5.07
6,-18.379,4.39
7,-7.844,2.17
8,-23.535,4.23